! Cs2RbErCl6, relaxed, DFT PBEsol; values from VASP
! uncorrected formation energy	-2.1301	eV per atom
! magnetic moment	0.0	μB/f.u.
! N(E_F)	0.00	states/eV per cell
! space-group type	No. 225
! density	3.40	g/cm3
&SYSTEM
  ibrav = 0, nat = 10, ntyp = 4
/
ATOMIC_SPECIES
Cl 35.45 Cl.upf
Cs 132.91 Cs.upf
Er 167.26 Er.upf
Rb 85.47 Rb.upf
CELL_PARAMETERS angstrom
7.9624 0.0000 0.0000
3.9812 6.8956 0.0000
3.9812 2.2985 6.5013
ATOMIC_POSITIONS angstrom
Cl 7.9624 2.1050 1.4884
Cl 10.1206 5.8431 1.4884
Cl 10.1206 3.3510 5.0128
Cl 5.8041 3.3510 5.0128
Cl 7.9624 7.0892 5.0128
Cl 5.8041 5.8431 1.4884
Cs 3.9812 2.2985 1.6253
Cs 11.9436 6.8956 4.8759
Er 0.0000 0.0000 0.0000
Rb 7.9624 4.5971 3.2506

***

! MgPPt2, relaxed, DFT PBEsol; values from VASP
! magnetic moment	0.0	μB/f.u.
! N(E_F)	2.82	states/eV per cell
! ΔE_f	-35.8	kJ/mol of atoms
! space-group type	No. 139
! density	12.54	g/cm3
&SYSTEM
  ibrav = 0, nat = 4, ntyp = 3
/
ATOMIC_SPECIES
Pt 195.08 Pt.upf
P 30.97 P.upf
Mg 24.30 Mg.upf
CELL_PARAMETERS angstrom
-3.9179 0.3617 0.1764
-0.2530 -3.5569 1.6724
2.3875 3.1923 2.5129
ATOMIC_POSITIONS angstrom
Pt -1.8080 0.9782 1.8069
Pt 0.0245 -0.9811 2.5548
P 0.0000 0.0000 0.0000
Mg -2.0855 -1.5976 0.9244

***

! K3LiGa, relaxed, DFT PBEsol; values from VASP
! magnetic moment	0.0	μB/f.u.
! N(E_F)	4.75	states/eV per cell
! ΔE_f	30.3	kJ/mol of atoms
! space-group type	No. 221
! density	1.18	g/cm3
&SYSTEM
  ibrav = 0, nat = 5, ntyp = 3
/
ATOMIC_SPECIES
K 39.10 K.upf
Ga 69.72 Ga.upf
Li 6.94 Li.upf
CELL_PARAMETERS angstrom
-6.2607 1.3298 1.1071
-1.6466 -5.8558 -2.2778
0.5318 -2.4761 5.9813
ATOMIC_POSITIONS angstrom
K 0.2659 -1.2381 2.9906
K -0.8233 -2.9279 -1.1389
K -3.1303 0.6649 0.5536
Ga 0.0000 0.0000 0.0000
Li -3.6877 -3.5011 2.4053

***

! TlIn2Cu, relaxed, DFT PBEsol; values from VASP
! magnetic moment	0.0	μB/f.u.
! N(E_F)	1.63	states/eV per cell
! ΔE_f	25.8	kJ/mol of atoms
! space-group type	No. 12
! density	9.15	g/cm3
&SYSTEM
  ibrav = 0, nat = 4, ntyp = 3
/
ATOMIC_SPECIES
Tl 204.38 Tl.upf
Cu 63.55 Cu.upf
In 114.82 In.upf
CELL_PARAMETERS angstrom
3.5720 0.3343 0.0000
-0.5859 4.7153 0.0000
-1.4930 -2.5248 5.3010
ATOMIC_POSITIONS angstrom
Tl 1.7860 0.1672 0.0000
Cu -0.2930 2.3577 0.0000
In 0.7465 1.2624 2.6505
In -0.7465 -1.2624 2.6505

***

! Rb2Sr2N, relaxed, DFT PBEsol; values from VASP
! uncorrected formation energy	1.0606	eV per atom
! magnetic moment	1.4	μB/f.u.
! N(E_F)	6.58	states/eV per cell
! space-group type	No. 139
! density	2.13	g/cm3
&SYSTEM
  ibrav = 0, nat = 5, ntyp = 3
/
ATOMIC_SPECIES
Rb 85.47 Rb.upf
N 14.01 N.upf
Sr 87.62 Sr.upf
CELL_PARAMETERS angstrom
-4.2184 -0.0522 -2.5592
-0.5736 -4.7885 1.0431
-3.4390 5.2020 10.3192
ATOMIC_POSITIONS angstrom
Rb -4.9449 2.3573 8.1026
Rb -3.2861 -1.9960 0.7004
N 0.0000 0.0000 0.0000
Sr -3.2043 -1.0035 5.3021
Sr -5.0267 1.3647 3.5009

***

! AlCu2Tc, relaxed, DFT PBEsol; values from VASP
! magnetic moment	0.0	μB/f.u.
! N(E_F)	2.70	states/eV per cell
! ΔE_f	-0.9	kJ/mol of atoms
! space-group type	No. 99
! density	8.26	g/cm3
&SYSTEM
  ibrav = 0, nat = 4, ntyp = 3
/
ATOMIC_SPECIES
Cu 63.55 Cu.upf
Al 26.98 Al.upf
Tc 98.00 Tc.upf
CELL_PARAMETERS angstrom
-0.2039 -2.6534 -0.5343
2.4795 -0.3980 1.0302
-2.7502 -1.0405 6.2170
ATOMIC_POSITIONS angstrom
Cu -0.0190 -0.0072 0.0429
Cu 0.4852 -1.7726 1.7232
Al -0.9588 -2.3190 4.9876
Tc -1.3570 -0.5134 3.0677

***

! Cd2InGe2, relaxed, DFT PBEsol; values from VASP
! magnetic moment	0.0	μB/f.u.
! N(E_F)	1.55	states/eV per cell
! ΔE_f	14.0	kJ/mol of atoms
! space-group type	No. 139
! density	7.04	g/cm3
&SYSTEM
  ibrav = 0, nat = 5, ntyp = 3
/
ATOMIC_SPECIES
Cd 112.41 Cd.upf
Ge 72.64 Ge.upf
In 114.82 In.upf
CELL_PARAMETERS angstrom
-0.1644 3.7877 2.4448
-0.2672 -2.4503 3.7783
5.8192 -0.6776 -2.7210
ATOMIC_POSITIONS angstrom
Cd 2.7195 1.8894 1.4177
Cd 2.6681 -1.2296 2.0844
Ge 0.9959 0.6668 3.1960
Ge 4.3917 -0.0069 0.3061
In 0.0000 0.0000 0.0000

***

! Ti2Be2Tl, relaxed, DFT PBEsol; values from VASP
! magnetic moment	0.0	μB/f.u.
! N(E_F)	4.20	states/eV per cell
! ΔE_f	-9.4	kJ/mol of atoms
! space-group type	No. 127
! density	7.54	g/cm3
&SYSTEM
  ibrav = 0, nat = 10, ntyp = 3
/
ATOMIC_SPECIES
Be 9.01 Be.upf
Ti 47.87 Ti.upf
Tl 204.38 Tl.upf
CELL_PARAMETERS angstrom
-0.2718 2.5082 2.6905
-5.5285 1.6940 -2.1376
-2.6894 -4.1904 3.6348
ATOMIC_POSITIONS angstrom
Be -6.5323 -1.1078 0.3729
Be -4.4669 -3.0436 2.3862
Be -1.6856 -1.3886 1.1243
Be -3.7510 0.5472 -0.8890
Ti -5.6768 1.2576 0.7823
Ti -6.0498 -1.1353 2.9754
Ti -2.4399 1.1471 1.2122
Ti -2.8128 -1.2458 3.4053
Tl 0.0000 0.0000 0.0000
Tl -4.1089 -1.2482 0.7486

***

! RbZn3P, relaxed, DFT PBEsol; values from VASP
! magnetic moment	0.0	μB/f.u.
! N(E_F)	2.01	states/eV per cell
! ΔE_f	32.9	kJ/mol of atoms
! space-group type	No. 221
! density	4.32	g/cm3
&SYSTEM
  ibrav = 0, nat = 5, ntyp = 3
/
ATOMIC_SPECIES
Zn 65.41 Zn.upf
P 30.97 P.upf
Rb 85.47 Rb.upf
CELL_PARAMETERS angstrom
-3.9778 -2.8088 -0.8004
2.8171 -4.0468 0.2008
-0.7706 -0.2951 4.8654
ATOMIC_POSITIONS angstrom
Zn -1.9889 -1.4044 -0.4002
Zn 1.4085 -2.0234 0.1004
Zn -0.3853 -0.1475 2.4327
P 0.0000 0.0000 0.0000
Rb -0.9657 -3.5753 2.1329

***

! AlAg3, relaxed, DFT PBEsol; values from VASP
! magnetic moment	0.0	μB/f.u.
! N(E_F)	2.12	states/eV per cell
! ΔE_f	8.3	kJ/mol of atoms
! space-group type	No. 63
! density	8.35	g/cm3
&SYSTEM
  ibrav = 0, nat = 8, ntyp = 2
/
ATOMIC_SPECIES
Ag 107.87 Ag.upf
Al 26.98 Al.upf
CELL_PARAMETERS angstrom
-1.0279 0.3553 -4.7853
-0.0949 -5.3178 -0.3744
-5.2117 -0.2237 1.1029
ATOMIC_POSITIONS angstrom
Ag -5.4686 -2.3686 -2.7756
Ag -2.7285 -4.7626 -1.0257
Ag -3.6061 -0.4236 -3.0312
Ag -1.1736 -4.7450 -3.8746
Ag -0.8659 -2.8176 -1.2813
Ag -5.1610 -0.4412 -0.1823
Al -2.9105 -3.0157 -3.3731
Al -3.4240 -2.1705 -0.6838

***

! ScFe4P2, relaxed, DFT PBEsol; values from VASP
! magnetic moment	2.3	μB/f.u.
! N(E_F)	12.06	states/eV per cell
! ΔE_f	-77.7	kJ/mol of atoms
! space-group type	No. 136
! density	6.77	g/cm3
&SYSTEM
  ibrav = 0, nat = 14, ntyp = 3
/
ATOMIC_SPECIES
Sc 44.96 Sc.upf
P 30.97 P.upf
Fe 55.84 Fe.upf
CELL_PARAMETERS angstrom
-2.2140 1.1291 -2.4782
-1.8305 -6.4138 -1.2869
-4.9428 0.4807 4.6349
ATOMIC_POSITIONS angstrom
Sc -1.1070 0.5645 -1.2391
Sc -3.3866 -2.9666 1.6740
P -5.9901 -3.7129 1.1746
P -2.5181 -4.8906 0.0214
P -4.2551 -1.0426 3.3265
P -2.9971 -1.0912 -0.3048
Fe -2.9443 -3.0794 -1.2578
Fe -1.8418 -0.3476 1.4871
Fe -1.0228 -2.1617 -0.0711
Fe -4.9315 -5.5856 1.8609
Fe -4.7266 -4.6406 -0.3769
Fe -4.2606 -0.1635 1.2467
Fe -5.7504 -3.7714 3.4191
Fe -6.0429 -1.7247 2.1276

***

! Mn2CdO3, relaxed, DFT PBEsol; values from VASP
! uncorrected formation energy	-1.0637	eV per atom
! magnetic moment	9.9	μB/f.u.
! N(E_F)	1.31	states/eV per cell
! space-group type	No. 71
! density	6.47	g/cm3
&SYSTEM
  ibrav = 0, nat = 6, ntyp = 3
/
ATOMIC_SPECIES
Cd 112.41 Cd.upf
Mn 54.94 Mn.upf
O 16.00 O.upf
CELL_PARAMETERS angstrom
-1.5934 2.7076 -0.2832
-3.5262 -1.8283 2.3599
4.4779 1.1150 3.0322
ATOMIC_POSITIONS angstrom
Cd 0.0000 0.0000 0.0000
Mn 1.2804 1.0377 2.7173
Mn -1.9221 0.9564 2.3916
O -1.7631 -0.9142 1.1799
O -0.0893 1.9270 1.3595
O -0.5523 0.0671 3.7494

***

density of number 12 (Mn2CdO3)? 6.47 g/cm3